#one
{
  "formula": "SrCa2Ru",
  "functional": "SCAN",
  "state": "single point on PBEsol structure",
  "dos_at_fermi_per_ev_atom": 0.831,
  "lattice": [[1.8294, 1.0562, 10.7774], [-1.8294, 1.0562, 10.7774], [0.0000, -2.1124, 10.7774]],
  "species": ["Sr", "Ca", "Ca", "Ru"],
  "frac_coords": [[0.0000, 0.0000, 0.0000], [0.2243, 0.2243, 0.2243], [0.7757, 0.7757, 0.7757], [0.5000, 0.5000, 0.5000]]
}

#two
{
  "formula": "SrCa2Ru",
  "functional": "SCAN",
  "state": "single point on PBEsol structure",
  "dos_at_fermi_per_ev_atom": 0.778,
  "lattice": [[3.5397, 0.0000, 0.0000], [0.0000, 3.5397, 0.0000], [0.0000, 0.0000, 9.5612]],
  "species": ["Sr", "Ca", "Ca", "Ru"],
  "frac_coords": [[0.0000, 0.0000, 0.0000], [0.5000, 0.5000, 0.3358], [0.5000, 0.5000, 0.6642], [0.0000, 0.0000, 0.5000]]
}

Most stable: #two

#one
{
  "formula": "CaTaRu",
  "functional": "SCAN",
  "state": "single point on PBEsol structure",
  "dos_at_fermi_per_ev_atom": 1.156,
  "lattice": [[-1.6147, 1.6147, 5.7310], [1.6147, -1.6147, 5.7310], [1.6147, 1.6147, -5.7310]],
  "species": ["Ca", "Ta", "Ru"],
  "frac_coords": [[0.0000, 0.0000, 0.0000], [0.7119, 0.7119, 0.0000], [0.3163, 0.3163, 0.0000]]
}

#two
{
  "formula": "CaTaRu",
  "functional": "SCAN",
  "state": "single point on PBEsol structure",
  "dos_at_fermi_per_ev_atom": 0.941,
  "lattice": [[0.0000, 3.1235, 3.1235], [3.1235, 0.0000, 3.1235], [3.1235, 3.1235, 0.0000]],
  "species": ["Ca", "Ta", "Ru"],
  "frac_coords": [[0.0000, 0.0000, 0.0000], [0.2500, 0.2500, 0.2500], [0.5000, 0.5000, 0.5000]]
}

Most stable: #one

#one
{
  "formula": "CaY2Ru",
  "functional": "SCAN",
  "state": "single point on PBEsol structure",
  "dos_at_fermi_per_ev_atom": 0.595,
  "lattice": [[3.3942, 0.0000, 0.0000], [0.0000, 3.3942, 0.0000], [0.0000, 0.0000, 9.4155]],
  "species": ["Ca", "Y", "Y", "Ru"],
  "frac_coords": [[0.0000, 0.0000, 0.0000], [0.5000, 0.5000, 0.3280], [0.5000, 0.5000, 0.6720], [0.0000, 0.0000, 0.5000]]
}

#two
{
  "formula": "CaY2Ru",
  "functional": "SCAN",
  "state": "single point on PBEsol structure",
  "dos_at_fermi_per_ev_atom": 0.629,
  "lattice": [[3.3870, 0.0000, 0.0000], [0.0000, 3.3870, 0.0000], [0.0000, 0.0000, 9.0176]],
  "species": ["Ca", "Y", "Y", "Ru"],
  "frac_coords": [[0.0000, 0.0000, 0.0000], [0.0000, 0.0000, 0.3642], [0.5000, 0.5000, 0.6682], [0.5000, 0.5000, 0.2027]]
}

Most stable: #one

#one
{
  "formula": "Ca2YRu",
  "functional": "SCAN",
  "state": "single point on PBEsol structure",
  "dos_at_fermi_per_ev_atom": 1.130,
  "lattice": [[2.3700, -2.3831, 0.0000], [2.3700, 2.3831, 0.0000], [0.0000, 0.0000, 9.3503]],
  "species": ["Ca", "Ca", "Y", "Ru"],
  "frac_coords": [[0.0000, 0.0000, 0.1785], [0.0000, 0.0000, 0.8215], [0.5000, 0.5000, 0.5000], [0.5000, 0.5000, 0.0000]]
}

#two
{
  "formula": "Ca2YRu",
  "functional": "SCAN",
  "state": "single point on PBEsol structure",
  "dos_at_fermi_per_ev_atom": 0.865,
  "lattice": [[3.4532, 0.0000, 0.0000], [0.0000, 3.4532, 0.0000], [0.0000, 0.0000, 9.2596]],
  "species": ["Ca", "Ca", "Y", "Ru"],
  "frac_coords": [[0.0000, 0.0000, 0.0000], [0.5000, 0.5000, 0.3381], [0.0000, 0.0000, 0.6534], [0.5000, 0.5000, 0.8060]]
}

Most stable: #two

#one
{
  "formula": "CaZr2Ru",
  "functional": "SCAN",
  "state": "single point on PBEsol structure",
  "dos_at_fermi_per_ev_atom": 0.706,
  "lattice": [[3.2787, 0.0000, 0.0000], [0.0000, 3.2787, 0.0000], [0.0000, 0.0000, 8.0623]],
  "species": ["Ca", "Zr", "Zr", "Ru"],
  "frac_coords": [[0.0000, 0.0000, 0.0000], [0.0000, 0.0000, 0.4095], [0.5000, 0.5000, 0.6586], [0.5000, 0.5000, 0.2410]]
}

#two
{
  "formula": "CaZr2Ru",
  "functional": "SCAN",
  "state": "single point on PBEsol structure",
  "dos_at_fermi_per_ev_atom": 1.201,
  "lattice": [[3.1321, 0.0000, 0.0000], [0.0000, 3.1321, 0.0000], [0.0000, 0.0000, 9.2989]],
  "species": ["Ca", "Zr", "Zr", "Ru"],
  "frac_coords": [[0.0000, 0.0000, 0.0000], [0.5000, 0.5000, 0.3216], [0.5000, 0.5000, 0.6784], [0.0000, 0.0000, 0.5000]]
}

Most stable: #one

#one
{
  "formula": "CaSn2S5",
  "functional": "SCAN",
  "state": "single point on PBEsol structure",
  "lattice": [[6.8536, 0.0000, 0.0000], [-1.9734, 6.8136, 0.0000], [-2.0272, -2.9992, 8.1753]],
  "species": ["Ca", "Ca", "Sn", "Sn", "Sn", "Sn", "S", "S", "S", "S", "S", "S", "S", "S", "S", "S"],
  "frac_coords": [[0.1308, 0.3252, 0.2986], [0.8692, 0.6748, 0.7014], [0.1924, 0.3291, 0.7590], [0.5000, 0.0000, 0.0000], [0.5000, 0.0000, 0.5000], [0.8076, 0.6709, 0.2410], [0.1191, 0.7468, 0.4721], [0.1647, 0.0919, 0.9068], [0.2093, 0.6477, 0.9483], [0.4010, 0.0976, 0.2556], [0.4516, 0.3518, 0.6181], [0.5484, 0.6482, 0.3819], [0.5990, 0.9024, 0.7444], [0.7907, 0.3523, 0.0517], [0.8353, 0.9081, 0.0932], [0.8809, 0.2532, 0.5279]]
}

#two
{
  "formula": "CaSn2S5",
  "functional": "SCAN",
  "state": "single point on PBEsol structure",
  "lattice": [[9.3480, 0.0000, 0.0000], [0.0000, 10.6174, 0.0000], [0.0000, 0.0000, 7.3794]],
  "species": ["Ca", "Ca", "Ca", "Ca", "Sn", "Sn", "Sn", "Sn", "Sn", "Sn", "Sn", "Sn", "S", "S", "S", "S", "S", "S", "S", "S", "S", "S", "S", "S", "S", "S", "S", "S", "S", "S", "S", "S"],
  "frac_coords": [[0.1191, 0.1705, 0.0000], [0.3809, 0.6705, 0.0000], [0.6191, 0.3295, 0.0000], [0.8809, 0.8295, 0.0000], [0.0000, 0.5000, 0.2364], [0.0000, 0.5000, 0.7636], [0.1071, 0.8492, 0.5000], [0.3929, 0.3492, 0.5000], [0.5000, 0.0000, 0.2364], [0.5000, 0.0000, 0.7636], [0.6071, 0.6508, 0.5000], [0.8929, 0.1508, 0.5000], [0.0000, 0.0000, 0.2735], [0.0000, 0.0000, 0.7265], [0.1270, 0.7102, 0.2262], [0.1270, 0.7102, 0.7738], [0.1343, 0.3905, 0.5000], [0.1815, 0.4350, 0.0000], [0.3185, 0.9350, 0.0000], [0.3657, 0.8905, 0.5000], [0.3730, 0.2102, 0.2262], [0.3730, 0.2102, 0.7738], [0.5000, 0.5000, 0.2735], [0.5000, 0.5000, 0.7265], [0.6270, 0.7898, 0.2262], [0.6270, 0.7898, 0.7738], [0.6343, 0.1095, 0.5000], [0.6815, 0.0650, 0.0000], [0.8185, 0.5650, 0.0000], [0.8657, 0.6095, 0.5000], [0.8730, 0.2898, 0.2262], [0.8730, 0.2898, 0.7738]]
}

Most stable: #two